Here is crystalline VPHRuS at its relaxed geometry from Alexandria. Energies are from PBE.

The structure belongs to space group Cm (No. 8); the cell edges are 16.0735, 2.9490 and 2.9781 Å and the angles 90.00°, 100.05° and 90.00°. Symmetry generates all atoms from V at (0.0000, 0.0000, 0.0000), P at (0.2654, 0.0000, 0.2522), H at (0.4217, 0.0000, 0.9138), Ru at (0.3414, 0.5000, 0.8243) and S at (0.0701, 0.5000, 0.5665).

The value obtained for the offset from the most stable computed form is 215 meV per atom.